Entry 1:
NaCl3O (PBE, optimized geometry); size of the total moment = 0.00 μB/f.u.; formation energy without anion corrections = -0.187 eV/atom; D(E_F) = 1.155 states/eV/cell; mass density = 2.52 g cm⁻³; V = 95.96 Å³ per cell; energy above the most stable polymorph in this dataset = 0 meV/atom; symmetry = Pm-3m
1.0
4.5782 0.0000 0.0000
0.0000 4.5782 0.0000
0.0000 0.0000 4.5782
Cl O Na
3 1 1
Direct
0.5000 0.0000 0.0000
0.0000 0.5000 0.0000
0.0000 0.0000 0.5000
0.0000 0.0000 0.0000
0.5000 0.5000 0.5000



Entry 2:
Na5Cl2O (PBE, optimized geometry); size of the total moment = 0.00 μB/f.u.; formation energy without anion corrections = -1.269 eV/atom; D(E_F) = 3.170 states/eV/cell; mass density = 1.57 g cm⁻³; V = 427.04 Å³ per cell; symmetry = Cmcm
1.0
-0.6321 2.5252 -3.9560
-3.2251 -6.2885 -0.6644
-11.2919 5.2467 5.1532
O Na Cl
2 10 4
Direct
0.8268 0.6536 0.7500
0.1732 0.3464 0.2500
0.7155 0.4311 0.6188
0.0450 0.0901 0.3656
0.3185 0.6370 0.7500
0.2845 0.5689 0.1188
0.7155 0.4311 0.8812
0.9550 0.9099 0.8656
0.6815 0.3630 0.2500
0.0450 0.0901 0.1344
0.9550 0.9099 0.6344
0.2845 0.5689 0.3812
0.1430 0.2860 0.9520
0.8570 0.7140 0.0480
0.1430 0.2860 0.5480
0.8570 0.7140 0.4520



Entry 3:
Na4ClO (PBE, optimized geometry); size of the total moment = 0.00 μB/f.u.; formation energy without anion corrections = -0.999 eV/atom; D(E_F) = 1.126 states/eV/cell; mass density = 1.85 g cm⁻³; V = 128.45 Å³ per cell; symmetry = C2/m
1.0
-2.8710 2.7400 1.7667
-3.1295 -2.9770 -0.4683
1.4209 -2.4831 6.1753
Na Cl O
4 1 1
Direct
0.5009 0.9968 0.2995
0.0015 0.4981 0.6967
0.5016 0.9979 0.6967
0.0010 0.4966 0.2995
0.5014 0.4972 0.9982
0.0014 0.9972 0.4981



Entry 4:
NaCl3O (PBE, optimized geometry); size of the total moment = 4.00 μB/f.u.; formation energy without anion corrections = 0.355 eV/atom; D(E_F) = 8.432 states/eV/cell; mass density = 1.63 g cm⁻³; V = 147.78 Å³ per cell; energy above the most stable polymorph in this dataset = 543 meV/atom; symmetry = Pm-3m
1.0
-4.6143 0.6541 -2.4965
-1.9330 -4.2645 2.4555
-1.7099 3.0558 3.9611
Cl Na O
3 1 1
Direct
0.0000 0.5000 0.0000
0.5000 0.0000 0.0000
0.0000 0.0000 0.5000
0.0000 0.0000 0.0000
0.5000 0.5000 0.5000



Entry 5:
Na4Cl2O (PBE, optimized geometry); size of the total moment = 0.05 μB/f.u.; formation energy without anion corrections = -1.486 eV/atom; D(E_F) = 0.000 states/eV/cell; mass density = 1.98 g cm⁻³; V = 300.25 Å³ per cell; symmetry = P2_1/m
1.0
-3.4573 -5.1246 0.9630
5.5791 -4.1659 -2.1384
-0.3695 1.6000 7.1875
Cl Na O
4 8 2
Direct
0.7500 0.6424 0.9931
0.2500 0.9955 0.3579
0.7500 0.0045 0.6421
0.2500 0.3576 0.0069
0.4985 0.6099 0.3930
0.7500 0.0314 0.2823
0.5015 0.3901 0.6070
0.7500 0.2866 0.0337
0.2500 0.9686 0.7177
0.2500 0.7134 0.9663
0.9985 0.3901 0.6070
0.0015 0.6099 0.3930
0.2500 0.6328 0.6346
0.7500 0.3672 0.3654



Entry 6:
Na2OsCl4O2 (PBE, optimized geometry); size of the total moment = 0.00 μB/f.u.; formation energy without anion corrections = -1.162 eV/atom; D(E_F) = 0.000 states/eV/cell; mass density = 2.81 g cm⁻³; V = 242.24 Å³ per cell; symmetry = C2/m
1.0
-3.2430 2.8377 -4.4892
-4.8687 -3.8582 -4.2416
-7.4415 0.9019 0.6260
Cl O Na Os
4 2 2 1
Direct
0.3777 0.6800 0.1435
0.6223 0.8565 0.3200
0.6223 0.3200 0.8565
0.3777 0.1435 0.6800
0.8266 0.8646 0.8646
0.1734 0.1354 0.1354
0.2815 0.7664 0.7664
0.7185 0.2336 0.2336
0.5000 0.0000 0.0000



Entry 7:
NaOsClO4 (PBE, optimized geometry); size of the total moment = 0.07 μB/f.u.; formation energy without anion corrections = -1.135 eV/atom; mass density = 3.44 g cm⁻³; V = 301.82 Å³ per cell; symmetry = C2/m
1.0
-2.5933 0.2358 -5.9011
1.8451 -5.2384 -3.2800
-6.4192 -5.5154 -0.6492
Os O Na Cl
2 8 2 2
Direct
0.6177 0.6177 0.7062
0.3823 0.3823 0.2938
0.3447 0.3447 0.5129
0.6553 0.6553 0.4871
0.5631 0.5631 0.1660
0.4369 0.4369 0.8340
0.8754 0.5055 0.7557
0.5055 0.8754 0.7557
0.1246 0.4945 0.2443
0.4945 0.1246 0.2443
0.8118 0.8118 0.1463
0.1882 0.1882 0.8537
0.0464 0.0464 0.1993
0.9536 0.9536 0.8007



Entry 8:
NaP2ClO (PBE, optimized geometry); size of the total moment = 0.00 μB/f.u.; formation energy without anion corrections = 1.242 eV/atom; D(E_F) = 6.792 states/eV/cell; mass density = 2.24 g cm⁻³; V = 101.04 Å³ per cell; energy above the most stable polymorph in this dataset = 1443 meV/atom; symmetry = P4/mmm
1.0
-4.9640 0.0458 0.8112
-0.7996 -1.1662 -4.8272
0.1144 -3.8843 0.9194
P O Cl Na
2 1 1 1
Direct
0.5000 0.0000 0.0000
0.0000 0.5000 0.0000
0.0000 0.0000 0.5000
0.5000 0.5000 0.5000
0.0000 0.0000 0.0000



Please write out number 3 again, unchanged.
Na4ClO (PBE, optimized geometry); size of the total moment = 0.00 μB/f.u.; formation energy without anion corrections = -0.999 eV/atom; D(E_F) = 1.126 states/eV/cell; mass density = 1.85 g cm⁻³; V = 128.45 Å³ per cell; symmetry = C2/m
1.0
-2.8710 2.7400 1.7667
-3.1295 -2.9770 -0.4683
1.4209 -2.4831 6.1753
Na Cl O
4 1 1
Direct
0.5009 0.9968 0.2995
0.0015 0.4981 0.6967
0.5016 0.9979 0.6967
0.0010 0.4966 0.2995
0.5014 0.4972 0.9982
0.0014 0.9972 0.4981